a | Computed, not measured: crystalline SmMg2In at its relaxed geometry at the PBE level of DFT.

POSCAR file:
```
SmMg2In
1.0
5.214 -0.026 -0.033
-2.600 4.519 0.033
-2.596 -1.497 4.259
Sm Mg In
1 2 1
Direct
0.125 0.312 0.437
0.125 0.813 0.938
0.625 0.063 0.687
0.625 0.562 0.188
```

=====

b | Computed, not measured: crystalline SmMg2In at its relaxed geometry at the PBE level of DFT.

POSCAR file:
```
SmMg2In
1.0
4.867 0.000 0.000
0.000 4.573 0.000
0.000 0.000 4.573
Mg Sm In
2 1 1
Direct
0.000 0.000 0.500
0.000 0.500 0.000
0.500 0.500 0.500
0.500 0.000 0.000
```

=====

b is favored, and the nearest alternative lies 0.047 eV/atom above it.

=====

a | Computed, not measured: crystalline SmMg2In at its relaxed geometry at the PBE level of DFT.

POSCAR file:
```
SmMg2In
1.0
3.554 0.000 0.000
0.000 3.554 0.000
0.000 0.000 8.212
Mg Sm In
2 1 1
Direct
0.000 0.000 0.780
0.000 0.000 0.220
0.500 0.500 0.500
0.500 0.500 0.000
```

=====

b | Computed, not measured: crystalline SmMg2In at its relaxed geometry at the PBE level of DFT.

POSCAR file:
```
SmMg2In
1.0
5.164 0.000 0.000
2.582 4.472 0.000
2.582 1.491 4.216
Mg Sm In
2 1 1
Direct
0.250 0.250 0.250
0.750 0.750 0.750
0.000 0.000 0.000
0.500 0.500 0.500
```

=====

b is favored, and the nearest alternative lies 0.043 eV/atom above it.

=====

a | Computed, not measured: crystalline Sm6MgIn at its relaxed geometry at the PBE level of DFT.

POSCAR file:
```
Sm6MgIn
1.0
8.845 -0.079 0.189
4.341 7.701 0.121
4.366 2.557 3.764
Sm Mg In
6 1 1
Direct
0.030 0.519 0.705
0.746 0.971 0.764
0.520 0.254 0.254
0.254 0.029 0.236
0.970 0.481 0.295
0.480 0.746 0.746
0.000 0.000 0.000
0.500 0.500 0.500
```

=====

b | Computed, not measured: crystalline Sm6MgIn at its relaxed geometry at the PBE level of DFT.

POSCAR file:
```
Sm6MgIn
1.0
4.963 0.000 0.000
0.000 4.963 0.000
0.000 0.000 9.905
Sm Mg In
6 1 1
Direct
0.500 0.500 0.000
0.500 0.500 0.500
0.500 0.000 0.247
0.500 0.000 0.753
0.000 0.500 0.247
0.000 0.500 0.753
0.000 0.000 0.500
0.000 0.000 0.000
```

=====

b is favored, and the nearest alternative lies 0.055 eV/atom above it.

=====

a | Computed, not measured: crystalline Sm5Mg2In at its relaxed geometry at the PBE level of DFT.

POSCAR file:
```
Sm5Mg2In
1.0
-6.798 4.271 0.460
-1.077 -2.529 7.557
7.905 5.165 -1.423
Sm Mg In
10 4 2
Direct
0.503 0.679 0.682
0.821 0.997 0.318
0.000 0.000 0.000
0.500 0.500 0.000
0.179 0.003 0.682
0.679 0.179 0.682
0.003 0.503 0.682
0.321 0.821 0.318
0.997 0.497 0.318
0.497 0.321 0.318
0.127 0.373 0.000
0.627 0.127 0.000
0.373 0.873 0.000
0.873 0.627 0.000
0.750 0.750 0.500
0.250 0.250 0.500
```

=====

b | Computed, not measured: crystalline Sm5Mg2In at its relaxed geometry at the PBE level of DFT.

POSCAR file:
```
Sm5Mg2In
1.0
6.406 -0.098 -2.128
-3.355 5.458 -2.130
0.051 0.093 6.751
Sm Mg In
5 2 1
Direct
0.278 0.278 0.500
0.278 0.778 0.000
0.778 0.278 0.000
0.778 0.778 0.500
0.278 0.277 0.000
0.277 0.777 0.500
0.777 0.277 0.500
0.779 0.778 0.000
```

=====

b is favored, and the nearest alternative lies 0.066 eV/atom above it.